The following is a DFT calculation (GGA-PBE) of a relaxed PmHoZnHg crystal.

The structure in POSCAR format:
```
PmHoZnHg
1.0
-0.3004 -3.6146 -0.2540
2.4182 -0.0102 -2.7152
5.5974 -0.8158 4.9883
Pm Hg Ho Zn
1 1 1 1
Direct
0.5000 0.5000 0.1246 Pm
0.0000 0.0000 0.8408 Hg
0.5000 0.5000 0.5907 Ho
0.0000 0.0000 0.3718 Zn
```

Crystal system: tetragonal
Space group: P4mm
E, eV/atom: -3.13
E above lowest polymorph, meV/atom: 0
ΔE_f, eV per atom: -0.4067

---

The following is a DFT calculation (GGA-PBE) of a relaxed Pr2HoHg3 crystal.

The structure in POSCAR format:
```
Pr2HoHg3
1.0
3.7832 0.0000 0.0000
0.0000 3.7832 0.0000
0.0000 0.0000 11.6137
Hg Ho Pr
3 1 2
Direct
0.0000 0.0000 0.3501 Hg
0.0000 0.0000 0.6499 Hg
0.0000 0.0000 0.0000 Hg
0.5000 0.5000 0.5000 Ho
0.5000 0.5000 0.8281 Pr
0.5000 0.5000 0.1719 Pr
```

Crystal system: tetragonal
Space group: P4/mmm
E, eV/atom: -2.98
ΔE_f, eV per atom: -0.4707

---

The following is a DFT calculation (GGA-PBE) of a relaxed Pr3HoHg2 crystal.

The structure in POSCAR format:
```
Pr3HoHg2
1.0
5.3310 0.0000 0.0000
0.0000 7.0681 0.0000
0.0000 0.0000 9.6735
Hg Ho Pr
4 2 6
Direct
0.5000 0.7260 0.8459 Hg
0.5000 0.2260 0.1541 Hg
0.0000 0.2760 0.6490 Hg
0.0000 0.7760 0.3510 Hg
0.5000 0.5139 0.5517 Ho
0.5000 0.0139 0.4483 Ho
0.0000 0.8188 0.6688 Pr
0.0000 0.4875 0.9484 Pr
0.5000 0.6778 0.1776 Pr
0.0000 0.3188 0.3312 Pr
0.0000 0.9875 0.0516 Pr
0.5000 0.1778 0.8224 Pr
```

Crystal system: orthorhombic
Space group: Pmc2_1
E, eV/atom: -3.58
E above lowest polymorph, meV/atom: 0
ΔE_f, eV per atom: -0.3220

---

The following is a DFT calculation (GGA-PBE) of a relaxed Pr3HoHg crystal.

The structure in POSCAR format:
```
Pr3HoHg
1.0
-0.1193 -1.4812 -3.4683
3.1272 -7.6420 3.1561
-8.1064 -4.2634 4.1522
Pr Hg Ho
6 2 2
Direct
0.5970 0.9658 0.1941 Pr
0.9956 0.2912 0.9912 Pr
0.0044 0.7088 0.0088 Pr
0.8135 0.3779 0.6271 Pr
0.1865 0.6221 0.3729 Pr
0.4030 0.0342 0.8059 Pr
0.6090 0.4083 0.2181 Hg
0.3910 0.5917 0.7819 Hg
0.2053 0.1677 0.4105 Ho
0.7947 0.8323 0.5895 Ho
```

Crystal system: monoclinic
Space group: C2/m
E, eV/atom: -4.01
E above lowest polymorph, meV/atom: 0
ΔE_f, eV per atom: -0.1712

---

The following is a DFT calculation (GGA-PBE) of a relaxed PrHo4Hg crystal.

The structure in POSCAR format:
```
PrHo4Hg
1.0
-4.5881 2.9503 3.2379
5.8908 -4.1327 5.3552
3.2280 6.3934 -4.0862
Ho Pr Hg
8 2 2
Direct
0.9657 0.8355 0.2320 Ho
0.3650 0.9124 0.6259 Ho
0.2390 0.2865 0.3741 Ho
0.7610 0.7135 0.6259 Ho
0.6350 0.0876 0.3741 Ho
0.0343 0.1645 0.7680 Ho
0.2337 0.6035 0.7680 Ho
0.7663 0.3965 0.2320 Ho
0.3477 0.5977 0.1953 Pr
0.6523 0.4023 0.8047 Pr
0.2505 0.0005 0.0010 Hg
0.7495 0.9995 0.9990 Hg
```

Crystal system: monoclinic
Space group: C2/c
E, eV/atom: -3.95
E above lowest polymorph, meV/atom: 89
ΔE_f, eV per atom: -0.0501

---

The following is a DFT calculation (GGA-PBE) of a relaxed Pr3Ho4Hg4 crystal.

The structure in POSCAR format:
```
Pr3Ho4Hg4
1.0
4.9430 0.0000 0.0000
0.0000 7.9699 0.0000
-2.4715 -3.9850 8.2843
Ho Pr Hg
4 3 4
Direct
0.3260 0.5374 0.6520 Ho
0.3260 0.1146 0.6520 Ho
0.6740 0.4626 0.3480 Ho
0.6740 0.8854 0.3480 Ho
0.1108 0.1108 0.2216 Pr
0.8892 0.8892 0.7784 Pr
0.0000 0.5000 0.0000 Pr
0.5000 0.8044 0.0000 Hg
0.5000 0.1956 0.0000 Hg
0.7874 0.2874 0.5748 Hg
0.2126 0.7126 0.4252 Hg
```

Crystal system: orthorhombic
Space group: Immm
E, eV/atom: -3.37
ΔE_f, eV per atom: -0.2953

---

The following is a DFT calculation (GGA-PBE) of a relaxed Pr2Ho2Hg crystal.

The structure in POSCAR format:
```
Pr2Ho2Hg
1.0
8.4010 0.0000 0.5836
4.2005 4.7708 0.2918
4.2346 0.0000 8.0330
Ho Pr Hg
4 4 2
Direct
0.9650 0.3687 0.2782 Ho
0.6663 0.3687 0.7218 Ho
0.0350 0.6313 0.7218 Ho
0.3337 0.6313 0.2782 Ho
0.2644 0.0000 0.5713 Pr
0.6079 0.0000 0.1151 Pr
0.7356 0.0000 0.4287 Pr
0.3921 0.0000 0.8849 Pr
0.8318 0.3364 0.0000 Hg
0.1682 0.6636 0.0000 Hg
```

Crystal system: monoclinic
Space group: C2/m
E, eV/atom: -3.90
E above lowest polymorph, meV/atom: 83
ΔE_f, eV per atom: -0.0983

---

The following is a DFT calculation (GGA-PBE) of a relaxed Pr4HoHg crystal.

The structure in POSCAR format:
```
Pr4HoHg
1.0
-3.2958 -1.7155 0.3070
1.2552 -1.8809 2.9641
-4.6112 10.3874 8.5440
Hg Pr Ho
1 4 1
Direct
0.5000 0.5000 0.5000 Hg
0.5000 0.5000 0.8259 Pr
0.0000 0.0000 0.6445 Pr
0.5000 0.5000 0.1741 Pr
0.0000 0.0000 0.3555 Pr
0.0000 0.0000 0.0000 Ho
```

Crystal system: tetragonal
Space group: P4/mmm
E, eV/atom: -4.14
E above lowest polymorph, meV/atom: 0
ΔE_f, eV per atom: -0.1446

---

The following is a DFT calculation (GGA-PBE) of a relaxed Pr3HoHg2 crystal.

The structure in POSCAR format:
```
Pr3HoHg2
1.0
7.3479 0.0000 0.0000
0.0000 7.6405 0.0000
-3.6740 -3.8203 7.5079
Ho Hg Pr
2 4 6
Direct
0.0000 0.0000 0.0000 Ho
0.0000 0.5000 0.0000 Ho
0.5684 0.3637 0.7273 Hg
0.8411 0.1363 0.2727 Hg
0.1589 0.8637 0.7273 Hg
0.4316 0.6363 0.2727 Hg
0.5000 0.7500 0.0000 Pr
0.2271 0.9771 0.4542 Pr
0.7729 0.5229 0.5458 Pr
0.2271 0.4771 0.4542 Pr
0.7729 0.0229 0.5458 Pr
0.5000 0.2500 0.0000 Pr
```

Crystal system: orthorhombic
Space group: Ibam
E, eV/atom: -3.32
E above lowest polymorph, meV/atom: 251
ΔE_f, eV per atom: -0.0713

---

The following is a DFT calculation (GGA-PBE) of a relaxed Pr3Ho2Hg7 crystal.

The structure in POSCAR format:
```
Pr3Ho2Hg7
1.0
5.6413 0.0000 0.0000
0.0000 5.2075 0.0000
0.0000 -2.6038 11.5507
Hg Pr Ho
7 3 2
Direct
0.0000 0.5759 0.1517 Hg
0.0000 0.2755 0.5509 Hg
0.0000 0.4241 0.8483 Hg
0.0000 0.7245 0.4491 Hg
0.0000 0.0000 0.0000 Hg
0.5000 0.9112 0.8225 Hg
0.5000 0.0888 0.1775 Hg
0.5000 0.5000 0.0000 Pr
0.5000 0.3277 0.6554 Pr
0.5000 0.6723 0.3446 Pr
0.0000 0.8585 0.7170 Ho
0.0000 0.1415 0.2830 Ho
```

Crystal system: orthorhombic
Space group: Cmmm
E, eV/atom: -2.47
ΔE_f, eV per atom: -0.3345

---

The following is a DFT calculation (GGA-PBE) of a relaxed Pr5Ho4Hg crystal.

The structure in POSCAR format:
```
Pr5Ho4Hg
1.0
-1.7145 1.5297 -2.8633
0.3800 -3.1213 -1.8951
-21.3295 -7.8157 8.5964
Hg Pr Ho
1 5 4
Direct
0.0000 0.0000 0.0000 Hg
0.5000 0.5000 0.7057 Pr
0.5000 0.5000 0.5000 Pr
0.5000 0.5000 0.9133 Pr
0.5000 0.5000 0.0867 Pr
0.5000 0.5000 0.2943 Pr
0.0000 0.0000 0.6030 Ho
0.0000 0.0000 0.8088 Ho
0.0000 0.0000 0.3970 Ho
0.0000 0.0000 0.1912 Ho
```

Crystal system: tetragonal
Space group: P4/mmm
E, eV/atom: -4.32
ΔE_f, eV per atom: -0.0696

---

The following is a DFT calculation (GGA-PBE) of a relaxed PrHo5Hg6 crystal.

The structure in POSCAR format:
```
PrHo5Hg6
1.0
5.0475 -0.0021 -1.4134
-3.7716 7.4018 -3.7751
-0.1791 -1.0095 9.0671
Hg Ho Pr
6 5 1
Direct
0.7387 0.5681 0.9103 Hg
0.2320 0.7319 0.7319 Hg
0.2613 0.4319 0.0897 Hg
0.7680 0.2681 0.2681 Hg
0.7387 0.9103 0.5681 Hg
0.2613 0.0897 0.4319 Hg
0.5000 0.5000 0.5000 Ho
0.0000 0.3306 0.6694 Ho
0.0000 0.6694 0.3306 Ho
0.5000 0.8378 0.1622 Ho
0.5000 0.1622 0.8378 Ho
0.0000 0.0000 0.0000 Pr
```

Crystal system: monoclinic
Space group: C2/m
E, eV/atom: -2.93
ΔE_f, eV per atom: -0.4713